Compound: AgSn2I2
Source: the Alexandria database
Functional: GGA-PBE
Structure: relaxed

The structure belongs to space group P4/mbm (No. 127); the cell edges are 7.692, 7.692 and 5.423 Å and the angles 90.00°, 90.00° and 90.00°. The asymmetric unit holds Ag at (0.000, 0.000, 0.000), Sn at (0.164, 0.336, 0.000) and I at (0.191, 0.691, 0.500).

As for the density of states at the Fermi level: 2.463 states/eV/f.u. The calculation puts the calculated volume at 160 Å³/f.u. Its uncorrected formation energy is -0.066 eV/f.u.